[1]
Density functional theory data (GGA-PBE) for a relaxed structure of CrSb2As.

Results
N(E_F) ... 0.52 states/eV per atom
ΔE_f (raw) ... 0.37 eV/atom
Symmetry ... P4/mmm (123)

a = 3.5036 Å, b = 5.0069 Å, c = 5.0069 Å
α = 90.00°, β = 90.00°, γ = 90.00°
Last column: nearest neighbours and their distance in Å.
Element x y z (fractional)
1 Sb 0.0000 0.0000 0.0000  4 Cr 3.06, 4 As 3.06
2 Sb 0.0000 0.5000 0.5000  4 Cr 3.06, 4 As 3.06
3 Cr 0.5000 0.0000 0.5000  8 Sb 3.06
4 As 0.5000 0.5000 0.0000  8 Sb 3.06



[2]
Density functional theory data (GGA-PBE) for a relaxed structure of HgAu2Br.

Results
N(E_F) ... 0.23 states/eV per atom
ΔE_f (raw) ... 0.19 eV/atom
Symmetry ... Cmmm (65)

a = 3.7360 Å, b = 3.7360 Å, c = 8.7162 Å
α = 90.00°, β = 90.00°, γ = 126.07°
Last column: nearest neighbours and their distance in Å.
Element x y z (fractional)
1 Hg 0.5000 0.5000 0.7500  4 Au 2.75
2 Au 0.0000 0.0000 0.9980  2 Hg 2.75, 2 Br 2.77
3 Au 0.0000 0.0000 0.5020  2 Hg 2.75, 2 Br 2.77
4 Br 0.5000 0.5000 0.2500  4 Au 2.77



[3]
Density functional theory data (GGA-PBE) for a relaxed structure of Pm2Ga3Ni12Rh.

Results
N(E_F) ... 1.15 states/eV per atom
Symmetry ... R-3m (166)
Formation energy from the elements ... 18 meV/atom

a = 9.3907 Å, b = 9.3907 Å, c = 9.3907 Å
α = 37.47°, β = 37.47°, γ = 37.47°
Last column: nearest neighbours and their distance in Å.
Element x y z (fractional)
1 Ga 0.0000 0.0000 0.5000  6 Ni 2.33-2.48
2 Ga 0.0000 0.5000 0.0000  6 Ni 2.33-2.48
3 Ga 0.5000 0.0000 0.0000  6 Ni 2.33-2.48
4 Ni 0.6435 0.0694 0.0694  4 Ni 2.38-2.57, 1 Rh 2.41, 1 Ga 2.48
5 Ni 0.3565 0.9306 0.9306  4 Ni 2.38-2.57, 1 Rh 2.41, 1 Ga 2.48
6 Ni 0.0694 0.6435 0.0694  4 Ni 2.38-2.57, 1 Rh 2.41, 1 Ga 2.48
7 Ni 0.9306 0.9306 0.3565  4 Ni 2.38-2.57, 1 Rh 2.41, 1 Ga 2.48
8 Ni 0.9306 0.3565 0.9306  4 Ni 2.38-2.57, 1 Rh 2.41, 1 Ga 2.48
9 Ni 0.8097 0.4177 0.4177  2 Ga 2.33, 4 Ni 2.36-2.38
10 Ni 0.4177 0.4177 0.8097  2 Ga 2.33, 4 Ni 2.36-2.38
11 Ni 0.0694 0.0694 0.6435  4 Ni 2.38-2.57, 1 Rh 2.41, 1 Ga 2.48
12 Ni 0.4177 0.8097 0.4177  2 Ga 2.33, 4 Ni 2.36-2.38
13 Ni 0.5823 0.5823 0.1903  2 Ga 2.33, 4 Ni 2.36-2.38
14 Ni 0.1903 0.5823 0.5823  2 Ga 2.33, 4 Ni 2.36-2.38
15 Ni 0.5823 0.1903 0.5823  2 Ga 2.33, 4 Ni 2.36-2.38
16 Rh 0.0000 0.0000 0.0000  6 Ni 2.41
17 Pm 0.3492 0.3492 0.3492  6 Ni 3.01-3.06
18 Pm 0.6508 0.6508 0.6508  6 Ni 3.01-3.06



[4]
Density functional theory data (GGA-PBE) for a relaxed structure of BSbTeN2.

Results
N(E_F) ... 0.44 states/eV per atom
ΔE_f (raw) ... 1.81 eV/atom
Symmetry ... P4/mmm (123)

a = 3.9618 Å, b = 3.9618 Å, c = 4.6012 Å
α = 90.00°, β = 90.00°, γ = 90.00°
Last column: nearest neighbours and their distance in Å.
Element x y z (fractional)
1 Te 0.0000 0.0000 0.5000  2 B 2.30
2 N 0.0000 0.5000 0.0000  2 B 1.98
3 N 0.5000 0.0000 0.0000  2 B 1.98
4 B 0.0000 0.0000 0.0000  4 N 1.98
5 Sb 0.5000 0.5000 0.5000  4 Te 2.80, 8 N 3.04



[5]
Density functional theory data (GGA-PBE) for a relaxed structure of LaRh2Br.

Results
N(E_F) ... 0.99 states/eV per atom
ΔE_f (raw) ... -0.18 eV/atom
Symmetry ... Cmmm (65)

a = 3.7276 Å, b = 3.7276 Å, c = 6.2647 Å
α = 90.00°, β = 90.00°, γ = 105.01°
Last column: nearest neighbours and their distance in Å.
Element x y z (fractional)
1 Rh 0.0000 0.0000 0.9824  2 La 2.70, 2 Br 2.82, 1 Rh 2.91
2 Rh 0.0000 0.0000 0.5176  2 La 2.70, 2 Br 2.82, 1 Rh 2.91
3 La 0.5000 0.5000 0.7500  4 Rh 2.70
4 Br 0.5000 0.5000 0.2500  4 Rh 2.82, 2 La 3.13



[6]
Density functional theory data (GGA-PBE) for a relaxed structure of ThScGaRu.

Results
N(E_F) ... 0.77 states/eV per atom
Symmetry ... F-43m (216)
Formation energy from the elements ... -399 meV/atom

a = 4.9236 Å, b = 4.9236 Å, c = 4.9236 Å
α = 60.00°, β = 60.00°, γ = 60.00°
Last column: nearest neighbours and their distance in Å.
Element x y z (fractional)
1 Th 0.5000 0.5000 0.5000  4 Ga 3.02, 4 Ru 3.02
2 Ga 0.2500 0.2500 0.2500  4 Th 3.02, 4 Sc 3.02
3 Ru 0.7500 0.7500 0.7500  4 Th 3.02, 4 Sc 3.02
4 Sc 0.0000 0.0000 0.0000  4 Ru 3.02, 4 Ga 3.02



[7]
Density functional theory data (GGA-PBE) for a relaxed structure of Ba4IrAu.

Results
N(E_F) ... 0.85 states/eV per atom
Symmetry ... F-43m (216)
Formation energy from the elements ... 798 meV/atom

a = 6.7287 Å, b = 6.7287 Å, c = 6.7287 Å
α = 60.00°, β = 60.00°, γ = 60.00°
Last column: nearest neighbours and their distance in Å.
Element x y z (fractional)
1 Au 0.0000 0.0000 0.0000  12 Ba 3.95, 4 Ir 4.12
2 Ba 0.3755 0.8735 0.3755  6 Ba 3.35-3.38
3 Ba 0.8735 0.3755 0.3755  6 Ba 3.35-3.38
4 Ba 0.3755 0.3755 0.3755  6 Ba 3.35-3.38
5 Ba 0.3755 0.3755 0.8735  6 Ba 3.35-3.38
6 Ir 0.7500 0.7500 0.7500  12 Ba 3.94, 4 Au 4.12



[8]
Density functional theory data (GGA-PBE) for a relaxed structure of CaPr2Sm6Ho3.

Results
N(E_F) ... 1.26 states/eV per atom
Symmetry ... C2/m (12)
Formation energy from the elements ... 33 meV/atom

a = 6.2932 Å, b = 6.2932 Å, c = 12.0114 Å
α = 94.99°, β = 94.99°, γ = 120.01°
Last column: nearest neighbours and their distance in Å.
Element x y z (fractional)
1 Ho 0.5000 0.5000 0.5000  6 Sm 3.54-3.56, 6 Ho 3.63-3.64
2 Ho 0.1657 0.8343 0.5000  6 Sm 3.55-3.57, 6 Ho 3.61-3.64
3 Ho 0.8343 0.1657 0.5000  6 Sm 3.55-3.57, 6 Ho 3.61-3.64
4 Pr 0.3331 0.6669 0.0000  3 Pr 3.63-3.64, 3 Ca 3.63, 6 Sm 3.68-3.70
5 Pr 0.6669 0.3331 0.0000  3 Pr 3.63-3.64, 3 Ca 3.63, 6 Sm 3.68-3.70
6 Sm 0.4236 0.0862 0.2571  3 Ho 3.55-3.57, 6 Sm 3.61-3.68, 2 Pr 3.68-3.69, 1 Ca 3.71
7 Sm 0.7490 0.7490 0.2577  3 Ho 3.54-3.55, 6 Sm 3.61-3.68, 2 Pr 3.70, 1 Ca 3.71
8 Sm 0.9138 0.5764 0.7429  3 Ho 3.55-3.57, 6 Sm 3.61-3.68, 2 Pr 3.68-3.69, 1 Ca 3.71
9 Sm 0.5764 0.9138 0.7429  3 Ho 3.55-3.57, 6 Sm 3.61-3.68, 2 Pr 3.68-3.69, 1 Ca 3.71
10 Sm 0.0862 0.4236 0.2571  3 Ho 3.55-3.57, 6 Sm 3.61-3.68, 2 Pr 3.68-3.69, 1 Ca 3.71
11 Sm 0.2510 0.2510 0.7423  3 Ho 3.54-3.55, 6 Sm 3.61-3.68, 2 Pr 3.70, 1 Ca 3.71
12 Ca 0.0000 0.0000 0.0000  6 Pr 3.63, 6 Sm 3.71



[9]
Density functional theory data (GGA-PBE) for a relaxed structure of Ba2SrBr.

Results
N(E_F) ... 1.13 states/eV per atom
ΔE_f (raw) ... -0.75 eV/atom
Symmetry ... R-3m (166)

a = 12.1931 Å, b = 12.1931 Å, c = 12.1931 Å
α = 20.90°, β = 20.90°, γ = 20.90°
Last column: nearest neighbours and their distance in Å.
Element x y z (fractional)
1 Ba 0.5167 0.5167 0.5167  3 Br 3.49
2 Ba 0.9833 0.9833 0.9833  3 Br 3.49
3 Sr 0.7500 0.7500 0.7500  6 Ba 4.40, 6 Sr 4.42
4 Br 0.2500 0.2500 0.2500  6 Ba 3.49



[10]
Density functional theory data (GGA-PBE) for a relaxed structure of Tb6CSe5.

Results
N(E_F) ... 0.45 states/eV per atom
ΔE_f (raw) ... -1.61 eV/atom
Symmetry ... C2/m (12)

a = 6.9833 Å, b = 8.0933 Å, c = 6.9848 Å
α = 106.92°, β = 99.54°, γ = 125.22°
Last column: nearest neighbours and their distance in Å.
Element x y z (fractional)
1 Se 0.6655 0.6655 0.3309  6 Tb 2.87-2.88
2 Se 0.3256 0.8256 0.6511  6 Tb 2.87-3.10
3 Se 0.3345 0.3345 0.6691  6 Tb 2.87-2.88
4 Se 0.6744 0.1744 0.3489  6 Tb 2.87-3.10
5 Se 0.0000 0.5000 0.0000  6 Tb 2.88-3.15
6 Tb 0.1481 0.3705 0.2971  1 C 2.54
7 Tb 0.8519 0.6295 0.7029  1 C 2.54
8 Tb 0.8510 0.0734 0.7029  1 C 2.54
9 Tb 0.1490 0.9266 0.2971  1 C 2.54
10 Tb 0.4481 0.2204 0.0000  1 C 2.56
11 Tb 0.5519 0.7796 0.0000  1 C 2.56
12 C 0.0000 0.0000 0.0000  6 Tb 2.54-2.56



[11]
Density functional theory data (GGA-PBE) for a relaxed structure of CaAl3Se.

Results
N(E_F) ... 0.77 states/eV per atom
ΔE_f (raw) ... 0.30 eV/atom
Symmetry ... Pm-3m (221)

a = 5.1212 Å, b = 5.1212 Å, c = 5.1212 Å
α = 90.00°, β = 90.00°, γ = 90.00°
Last column: nearest neighbours and their distance in Å.
Element x y z (fractional)
1 Se 0.0000 0.0000 0.0000  6 Al 2.56
2 Al 0.0000 0.5000 0.0000  2 Se 2.56
3 Al 0.0000 0.0000 0.5000  2 Se 2.56
4 Al 0.5000 0.0000 0.0000  2 Se 2.56
5 Ca 0.5000 0.5000 0.5000  12 Al 3.62



[12]
Density functional theory data (GGA-PBE) for a relaxed structure of LiBC.

Results
N(E_F) ... 0.08 states/eV per atom
Symmetry ... P1 (1)
Formation energy from the elements ... 88 meV/atom

a = 3.9072 Å, b = 5.6432 Å, c = 3.8892 Å
α = 84.33°, β = 118.05°, γ = 82.55°
Last column: nearest neighbours and their distance in Å.
Element x y z (fractional)
1 C 0.2403 0.5522 0.8702  1 C 1.31, 1 B 1.41
2 C 0.2467 0.3189 0.8757  1 C 1.31, 1 B 1.41
3 B 0.2278 0.0729 0.8549  1 C 1.41, 1 B 1.53
4 B 0.2656 0.7976 0.8896  1 C 1.41, 1 B 1.53
5 Li 0.5911 0.9323 0.5322  6 B 2.30-2.48
6 Li 0.9068 0.4314 0.2076  6 C 2.26-2.49